Compound: RbGaAsBr2
Source: the Alexandria database
Functional: PBE
Structure: relaxed Values from VASP.

Quantum ESPRESSO input file:
```
&SYSTEM
  ibrav = 0, nat = 5, ntyp = 4
/
ATOMIC_SPECIES
As 74.92 As.upf
Ga 69.72 Ga.upf
Br 79.90 Br.upf
Rb 85.47 Rb.upf
ATOMIC_POSITIONS angstrom
As 1.6798 -0.7912 1.7184
Ga 0.0000 0.0000 0.0000
Br -1.6788 -2.2204 0.6187
Br -1.3147 1.5510 1.9993
Rb -1.3137 -1.4606 4.3364
CELL_PARAMETERS angstrom
-2.6294 3.1021 3.9986
-3.3575 -4.4409 1.2373
3.3595 -1.5824 3.4368
```

Distance to the lowest polymorph of the same formula ... 0.000 eV per atom
Total moment ... 1.7 μB/cell
Volume ... 164.57 Å³ per cell
SG ... P4/mmm
Total energy ... -2.9520 eV/atom
Calculated density ... 3.9 g/cm3